Sr3MgBe | PBE | optimized geometry

Values from the calculation:
Theoretical density = 2.31 Mg/m³
Formation enthalpy at 0 K = 339 meV/atom
M_tot = 0.00 μB/cell
Energy relative to the lowest polymorph listed for this composition = 0 meV/atom

Lattice parameters (Å, degrees): 5.967 5.967 5.967 90.00 90.00 90.00
Fractional positions:
Sr (0.000, 0.000, 0.500)
Sr (0.000, 0.500, 0.000)
Sr (0.500, 0.000, 0.000)
Mg (0.500, 0.500, 0.500)
Be (0.000, 0.000, 0.000)

***

KHf3C | PBE | optimized geometry

Values from the calculation:
Theoretical density = 9.34 Mg/m³
Formation enthalpy at 0 K = 582 meV/atom
M_tot = 0.00 μB/cell
Energy relative to the lowest polymorph listed for this composition = 0 meV/atom

Lattice parameters (Å, degrees): 4.706 4.706 4.706 90.00 90.00 90.00
Fractional positions:
K (0.000, 0.000, 0.000)
Hf (0.000, 0.500, 0.500)
Hf (0.500, 0.000, 0.500)
Hf (0.500, 0.500, 0.000)
C (0.500, 0.500, 0.500)

***

SbIr | PBE | optimized geometry

Values from the calculation:
Theoretical density = 12.93 Mg/m³
Uncorrected energy = -39.1 eV/cell
M_tot = 0.00 μB/cell

Lattice parameters (Å, degrees): 4.759 4.759 7.569 107.31 107.31 48.27
Fractional positions:
Sb (0.000, 0.000, 0.000)
Sb (0.619, 0.619, 0.669)
Sb (0.818, 0.818, 0.363)
Ir (0.123, 0.123, 0.390)
Ir (0.319, 0.319, 0.131)
Ir (0.348, 0.348, 0.768)

***

Q: Which formula does entry 1 have?
A: Sr3MgBe

***

Q: Among the records above, which one has the highest theoretical density?
A: SbIr

***

Q: What is the M_tot in the third record?
A: 0.00 μB/cell